1.
Computed, not measured: a relaxed BeBiPt3 crystal at the PBE level of DFT.

```
BeBiPt3
1.0
2.825 -5.923 0.000
2.825 5.923 0.000
0.000 0.000 5.099
Be Bi Pt
2 2 6
Direct
0.172 0.828 0.750
0.828 0.172 0.250
0.397 0.603 0.250
0.603 0.397 0.750
0.000 0.000 0.000
0.000 0.000 0.500
0.062 0.422 0.750
0.422 0.062 0.250
0.578 0.938 0.750
0.938 0.578 0.250
```

Output
Its crystal system is orthorhombic. For the total magnetization, the calculation gives 0.0 Bohr magnetons per cell. The volume is 171 Å³/cell. The calculation puts the distance to the lowest polymorph of the same formula at 1.16 eV/f.u. The value obtained for the density of states at the Fermi level is 6.41 states/eV per cell.



2.
Computed, not measured: a relaxed Nd5SmHo2Sc crystal at the PBE level of DFT.

```
Nd5SmHo2Sc
1.0
2.691 -10.968 0.000
2.691 10.968 0.000
0.000 0.000 10.276
Nd Sm Ho Sc
10 2 4 2
Direct
0.000 0.000 0.000
0.000 0.000 0.500
0.126 0.874 0.750
0.221 0.779 0.061
0.222 0.778 0.437
0.498 0.502 0.250
0.502 0.498 0.750
0.778 0.222 0.937
0.779 0.221 0.561
0.874 0.126 0.250
0.101 0.899 0.250
0.899 0.101 0.750
0.384 0.616 0.501
0.384 0.616 0.998
0.616 0.384 0.001
0.616 0.384 0.498
0.285 0.715 0.749
0.715 0.285 0.249
```

Output
Its crystal system is orthorhombic. For the total magnetization, the calculation gives 0.0 Bohr magnetons per cell. The volume is 607 Å³/cell. The total DFT energy (no corrections) is -85.80 eV/cell. The value obtained for the density of states at the Fermi level is 27.08 states/eV per cell.



3.
Computed, not measured: a relaxed Mn2InMo crystal at the PBE level of DFT.

```
Mn2InMo
1.0
5.843 0.000 0.000
0.000 6.944 0.000
0.000 0.000 3.002
Mn In Mo
4 2 2
Direct
0.250 0.250 0.000
0.250 0.750 0.000
0.750 0.250 0.000
0.750 0.750 0.000
0.000 0.000 0.500
0.500 0.500 0.500
0.000 0.500 0.500
0.500 0.000 0.500
```

Output
Its crystal system is orthorhombic. For the total magnetization, the calculation gives 8.0 Bohr magnetons per cell. The volume is 122 Å³/cell. The total DFT energy (no corrections) is -61.35 eV/cell. The value obtained for the density of states at the Fermi level is 8.16 states/eV per cell.



4.
Computed, not measured: a relaxed BeV3Ag crystal at the PBE level of DFT.

```
BeV3Ag
1.0
4.155 0.000 0.000
0.000 4.155 0.000
0.000 0.000 4.155
Be V Ag
1 3 1
Direct
0.000 0.000 0.000
0.000 0.000 0.500
0.000 0.500 0.000
0.500 0.000 0.000
0.500 0.500 0.500
```

Output
Its crystal system is cubic. For the total magnetization, the calculation gives 1.4 Bohr magnetons per cell. The volume is 72 Å³/cell. The calculation puts the distance to the lowest polymorph of the same formula at 0.00 eV/f.u. The value obtained for the density of states at the Fermi level is 5.27 states/eV per cell.



5.
Computed, not measured: a relaxed SrMnCu2 crystal at the PBE level of DFT.

```
SrMnCu2
1.0
6.823 0.000 0.000
0.000 6.823 0.000
0.000 0.000 6.823
Sr Mn Cu
4 4 8
Direct
0.000 0.000 0.000
0.000 0.500 0.500
0.500 0.000 0.500
0.500 0.500 0.000
0.000 0.000 0.500
0.000 0.500 0.000
0.500 0.000 0.000
0.500 0.500 0.500
0.250 0.250 0.250
0.250 0.250 0.750
0.250 0.750 0.250
0.250 0.750 0.750
0.750 0.250 0.250
0.750 0.250 0.750
0.750 0.750 0.250
0.750 0.750 0.750
```

Output
Its crystal system is cubic. For the total magnetization, the calculation gives 16.8 Bohr magnetons per cell. The volume is 318 Å³/cell. The total DFT energy (no corrections) is -70.28 eV/cell. The value obtained for the density of states at the Fermi level is 11.88 states/eV per cell.



6.
Computed, not measured: a relaxed RbNpCd2Br8 crystal at the PBE level of DFT.

```
RbNpCd2Br8
1.0
7.104 0.000 0.000
-3.552 6.152 0.000
0.000 0.000 10.524
Rb Np Cd Br
1 1 2 8
Direct
0.000 0.000 0.000
0.000 0.000 0.500
0.333 0.667 0.758
0.667 0.333 0.242
0.019 0.689 0.330
0.311 0.330 0.330
0.330 0.019 0.670
0.333 0.667 0.000
0.667 0.333 0.000
0.670 0.981 0.330
0.689 0.670 0.670
0.981 0.311 0.670
```

Output
Its crystal system is trigonal. For the total magnetization, the calculation gives 4.0 Bohr magnetons per cell. The volume is 460 Å³/cell. For the raw formation energy, the calculation gives -13.5 eV/f.u. The value obtained for the density of states at the Fermi level is 5.02 states/eV per cell.



7.
Computed, not measured: a relaxed AcGePtPb crystal at the PBE level of DFT.

```
AcGePtPb
1.0
7.406 0.000 0.000
0.000 7.406 0.000
0.000 0.000 7.406
Ac Ge Pt Pb
4 4 4 4
Direct
0.000 0.000 0.000
0.000 0.500 0.500
0.500 0.000 0.500
0.500 0.500 0.000
0.250 0.250 0.250
0.250 0.750 0.750
0.750 0.250 0.750
0.750 0.750 0.250
0.250 0.250 0.750
0.250 0.750 0.250
0.750 0.250 0.250
0.750 0.750 0.750
0.000 0.000 0.500
0.000 0.500 0.000
0.500 0.000 0.000
0.500 0.500 0.500
```

Output
Its crystal system is cubic. For the total magnetization, the calculation gives 0.0 Bohr magnetons per cell. The volume is 406 Å³/cell. The total DFT energy (no corrections) is -80.54 eV/cell. The value obtained for the density of states at the Fermi level is 12.37 states/eV per cell.



8.
Computed, not measured: a relaxed InHgTeSe crystal at the PBE level of DFT.

```
InHgTeSe
1.0
4.252 0.000 0.000
-2.126 3.682 0.000
0.000 0.000 8.230
In Hg Te Se
1 1 1 1
Direct
0.000 0.000 0.000
0.000 0.000 0.335
0.333 0.667 0.511
0.667 0.333 0.854
```

Output
Its crystal system is trigonal. For the total magnetization, the calculation gives 0.0 Bohr magnetons per cell. The volume is 129 Å³/cell. For the raw formation energy, the calculation gives -0.7 eV/f.u. The value obtained for the density of states at the Fermi level is 2.81 states/eV per cell.



9.
Computed, not measured: a relaxed Tb7Pd2Au2 crystal at the PBE level of DFT.

```
Tb7Pd2Au2
1.0
3.933 -5.445 0.000
3.933 5.445 0.000
0.000 0.000 7.165
Tb Pd Au
7 2 2
Direct
0.000 0.000 0.000
0.000 0.500 0.264
0.000 0.500 0.736
0.500 0.000 0.264
0.500 0.000 0.736
0.500 0.500 0.259
0.500 0.500 0.741
0.289 0.711 0.000
0.711 0.289 0.000
0.191 0.191 0.500
0.809 0.809 0.500
```

Output
Its crystal system is orthorhombic. For the total magnetization, the calculation gives 0.0 Bohr magnetons per cell. The volume is 307 Å³/cell. The total DFT energy (no corrections) is -54.09 eV/cell. The value obtained for the density of states at the Fermi level is 11.86 states/eV per cell.



10.
Computed, not measured: a relaxed NbSnPb crystal at the PBE level of DFT.

```
NbSnPb
1.0
5.270 0.000 0.000
0.000 3.776 0.000
-1.439 0.000 7.574
Nb Sn Pb
2 2 2
Direct
0.203 0.250 0.035
0.797 0.750 0.965
0.261 0.750 0.763
0.739 0.250 0.237
0.234 0.750 0.347
0.766 0.250 0.653
```

Output
Its crystal system is monoclinic. For the total magnetization, the calculation gives 0.0 Bohr magnetons per cell. The volume is 151 Å³/cell. The total DFT energy (no corrections) is -34.56 eV/cell. The value obtained for the density of states at the Fermi level is 3.46 states/eV per cell.



11.
Computed, not measured: a relaxed NaZr2HgGe crystal at the PBE level of DFT.

```
NaZr2HgGe
1.0
5.158 0.000 0.000
0.000 5.158 0.000
0.000 0.000 5.154
Na Zr Hg Ge
1 2 1 1
Direct
0.000 0.000 0.000
0.000 0.500 0.500
0.500 0.000 0.500
0.500 0.500 0.000
0.500 0.500 0.500
```

Output
Its crystal system is tetragonal. For the total magnetization, the calculation gives 0.0 Bohr magnetons per cell. The volume is 137 Å³/cell. The total DFT energy (no corrections) is -20.98 eV/cell. The value obtained for the density of states at the Fermi level is 7.79 states/eV per cell.



12.
Computed, not measured: a relaxed KOs3Rh crystal at the PBE level of DFT.

```
KOs3Rh
1.0
4.792 0.000 0.000
0.000 4.792 0.000
0.000 0.000 4.792
K Os Rh
1 3 1
Direct
0.000 0.000 0.000
0.000 0.500 0.500
0.500 0.000 0.500
0.500 0.500 0.000
0.500 0.500 0.500
```

Output
Its crystal system is cubic. For the total magnetization, the calculation gives 0.0 Bohr magnetons per cell. The volume is 110 Å³/cell. The calculation puts the distance to the lowest polymorph of the same formula at 0.00 eV/f.u. The value obtained for the density of states at the Fermi level is 12.22 states/eV per cell.